(1)
The following is a PBE calculation of an optimized crystal structure of GaGeMo4N2, from the Open Quantum Materials Database.

Energy: -8.539 eV/atom
Crystal system: hexagonal
V: 12.99 A^3/atom

a = 2.963 Å, b = 2.963 Å, c = 13.671 Å
α = 90.00°, β = 90.00°, γ = 120.00°
Atoms (fractional coordinates):
Ga (0.000, 0.000, 0.000)
Ge (0.333, 0.667, 0.500)
Mo (0.333, 0.667, 0.158)
Mo (0.000, 0.000, 0.348)
Mo (0.000, 0.000, 0.652)
Mo (0.333, 0.667, 0.842)
N (0.667, 0.333, 0.253)
N (0.667, 0.333, 0.747)



(2)
The following is a PBE calculation of an optimized crystal structure of YGeAuSe3, from the Open Quantum Materials Database.

Energy: -4.875 eV/atom
Crystal system: orthorhombic
V: 23.65 A^3/atom

a = 7.000 Å, b = 7.000 Å, c = 10.683 Å
α = 90.00°, β = 90.00°, γ = 32.82°
Atoms (fractional coordinates):
Au (0.471, 0.471, 0.250)
Au (0.529, 0.529, 0.750)
Ge (0.786, 0.786, 0.250)
Ge (0.214, 0.214, 0.750)
Se (0.348, 0.348, 0.061)
Se (0.105, 0.105, 0.250)
Se (0.348, 0.348, 0.439)
Se (0.652, 0.652, 0.561)
Se (0.895, 0.895, 0.750)
Se (0.652, 0.652, 0.939)
Y (0.000, 0.000, 0.000)
Y (0.000, 0.000, 0.500)



(3)
The following is a PBE calculation of an optimized crystal structure of TaTl2N, from the Open Quantum Materials Database.

Energy: -5.295 eV/atom
Crystal system: hexagonal
V: 17.87 A^3/atom

a = 3.260 Å, b = 3.260 Å, c = 15.531 Å
α = 90.00°, β = 90.00°, γ = 120.00°
Atoms (fractional coordinates):
N (0.000, 0.000, 0.000)
N (0.000, 0.000, 0.500)
Ta (0.667, 0.333, 0.250)
Ta (0.333, 0.667, 0.750)
Tl (0.333, 0.667, 0.097)
Tl (0.333, 0.667, 0.403)
Tl (0.667, 0.333, 0.597)
Tl (0.667, 0.333, 0.903)



(4)
The following is a PBE calculation of an optimized crystal structure of TbLuIn5, from the Open Quantum Materials Database.

Energy: -3.551 eV/atom
Crystal system: tetragonal
V: 26.41 A^3/atom

a = 4.714 Å, b = 4.714 Å, c = 8.320 Å
α = 90.00°, β = 90.00°, γ = 90.00°
Atoms (fractional coordinates):
In (0.500, 0.500, 0.000)
In (0.500, 0.000, 0.271)
In (0.000, 0.500, 0.271)
In (0.500, 0.000, 0.729)
In (0.000, 0.500, 0.729)
Lu (0.000, 0.000, 0.500)
Tb (0.000, 0.000, 0.000)



Q: What is the V in the third record?
A: 17.87 A^3/atom